# ErMg2Sn3 (PBE-GGA, relaxed)
# Calculated volume: 704.74 Å³ per cell
# Total moment: 0.0 μB/f.u.
# Excess energy over the best structure of this formula in the dataset: 1.62 eV per formula unit
# E_form: -0.0768 eV/atom
data_ErMg2Sn3
_space_group_name_H-M_alt 'C m c m'
_space_group_IT_number 63
_space_group_name_Hall '-C 2c 2'
_cell_length_a 12.009
_cell_length_b 9.715
_cell_length_c 6.040
_cell_angle_alpha 90.00
_cell_angle_beta 90.00
_cell_angle_gamma 90.00
loop_
_atom_site_label
_atom_site_type_symbol
_atom_site_fract_x
_atom_site_fract_y
_atom_site_fract_z
Er1 Er 0.000 0.206 0.250
Mg1 Mg 0.132 0.500 0.000
Sn1 Sn 0.000 0.294 0.750
Sn2 Sn 0.155 0.052 0.750

=====

# Sr2ErMg3Sn4 (PBE-GGA, relaxed)
# Calculated volume: 295.53 Å³ per cell
# Total moment: 0.0 μB/f.u.
# E_form: -0.4598 eV/atom
data_Sr2ErMg3Sn4
_space_group_name_H-M_alt 'P -4 m 2'
_space_group_IT_number 115
_cell_length_a 4.901
_cell_length_b 4.901
_cell_length_c 12.304
_cell_angle_alpha 90.00
_cell_angle_beta 90.00
_cell_angle_gamma 90.00
loop_
_space_group_symop_operation_xyz
'x,y,z'
'y,-x,-z'
'-x,-y,z'
'-y,x,-z'
'-x,y,z'
'-y,-x,-z'
'x,-y,z'
'y,x,-z'
loop_
_atom_site_label
_atom_site_type_symbol
_atom_site_fract_x
_atom_site_fract_y
_atom_site_fract_z
Sr1 Sr 0.000 0.500 0.234
Er1 Er 0.000 0.000 0.500
Mg1 Mg 0.000 0.500 0.870
Mg2 Mg 0.500 0.500 0.500
Sn1 Sn 0.000 0.000 0.000
Sn2 Sn 0.000 0.500 0.643
Sn3 Sn 0.500 0.500 0.000

=====

# YErMgSn (PBE-GGA, relaxed)
# Calculated volume: 416.08 Å³ per cell
# Total moment: 0.0 μB/f.u.
# E_form: -0.3974 eV/atom
data_YErMgSn
_space_group_name_H-M_alt 'F -4 3 m'
_space_group_IT_number 216
_space_group_name_Hall 'F -4 2 3'
_cell_length_a 7.466
_cell_length_b 7.466
_cell_length_c 7.466
_cell_angle_alpha 90.00
_cell_angle_beta 90.00
_cell_angle_gamma 90.00
loop_
_atom_site_label
_atom_site_type_symbol
_atom_site_fract_x
_atom_site_fract_y
_atom_site_fract_z
Y1 Y 0.000 0.000 0.000
Er1 Er 0.000 0.000 0.500
Mg1 Mg 0.250 0.250 0.750
Sn1 Sn 0.250 0.250 0.250

=====

# ErMg2ZnSn2 (PBE-GGA, relaxed)
# Calculated volume: 282.16 Å³ per cell
# Total moment: 0.0 μB/f.u.
# E_form: -0.3004 eV/atom
data_ErMg2ZnSn2
_space_group_name_H-M_alt 'P m c 21'
_space_group_IT_number 26
_cell_length_a 4.444
_cell_length_b 8.694
_cell_length_c 7.303
_cell_angle_alpha 90.00
_cell_angle_beta 90.00
_cell_angle_gamma 90.00
loop_
_space_group_symop_operation_xyz
'x,y,z'
'-x,-y,z+1/2'
'-x,y,z'
'x,-y,z+1/2'
loop_
_atom_site_label
_atom_site_type_symbol
_atom_site_fract_x
_atom_site_fract_y
_atom_site_fract_z
Er1 Er 0.000 0.052 0.000
Mg1 Mg 0.000 0.330 0.379
Mg2 Mg 0.500 0.430 0.062
Zn1 Zn 0.500 0.180 0.672
Sn1 Sn 0.000 0.351 0.777
Sn2 Sn 0.500 0.134 0.282

=====

# SrEr2Mg9 (PBE-GGA, relaxed)
# Calculated volume: 961.31 Å³ per cell
# Total moment: 0.0 μB/f.u.
# E_form: -0.0492 eV/atom
data_SrEr2Mg9
_space_group_name_H-M_alt 'R -3 m'
_space_group_IT_number 166
_space_group_name_Hall '-R 3 2"'
_cell_length_a 6.1217
_cell_length_b 6.1217
_cell_length_c 29.6203
_cell_angle_alpha 90.00
_cell_angle_beta 90.00
_cell_angle_gamma 120.00
loop_
_atom_site_label
_atom_site_type_symbol
_atom_site_fract_x
_atom_site_fract_y
_atom_site_fract_z
Sr1 Sr 0.0000 0.0000 0.0000
Er1 Er 0.0000 0.0000 0.1481
Mg1 Mg 0.0000 0.0000 0.3343
Mg2 Mg 0.0000 0.0000 0.5000
Mg3 Mg 0.0056 0.5028 0.9138

=====

# SrEr2Mg (PBE-GGA, relaxed)
# Calculated volume: 406.23 Å³ per cell
# Total moment: 0.0 μB/f.u.
# Excess energy over the best structure of this formula in the dataset: 0.78 eV per formula unit
# E_form: 0.2864 eV/atom
data_SrEr2Mg
_space_group_name_H-M_alt 'R -3 m'
_space_group_IT_number 166
_space_group_name_Hall '-R 3 2"'
_cell_length_a 3.5642
_cell_length_b 3.5642
_cell_length_c 36.9246
_cell_angle_alpha 90.00
_cell_angle_beta 90.00
_cell_angle_gamma 120.00
loop_
_atom_site_label
_atom_site_type_symbol
_atom_site_fract_x
_atom_site_fract_y
_atom_site_fract_z
Sr1 Sr 0.0000 0.0000 0.0000
Er1 Er 0.0000 0.0000 0.0964
Mg1 Mg 0.0000 0.0000 0.5000